# 1
Here is AgRh3 at its PBEsol-relaxed geometry from Alexandria. Energies are from SCAN.

Cell lengths 2.6995, 4.4333, 4.7526 Å; angles 90.00, 90.00, 90.00 degrees
Atoms (fractional coordinates):
Ag (0.0000, 0.0000, 0.0000)
Rh (0.0000, 0.5000, 0.3371)
Rh (0.5000, 0.0000, 0.4992)
Rh (0.5000, 0.5000, 0.8148)

**Crystal system**: orthorhombic
**Energy of formation**: 0.260 eV/atom
**Volume**: 56.9 Å³/cell
**Energy**: -131.64 eV per cell


# 2
Here is AgRuRh at its PBEsol-relaxed geometry from Alexandria. Energies are from SCAN.

Cell lengths 4.3710, 4.3710, 2.6298 Å; angles 90.00, 90.00, 120.00 degrees
Atoms (fractional coordinates):
Ag (0.0000, 0.0000, 0.0000)
Ru (0.6667, 0.3333, 0.3474)
Rh (0.3333, 0.6667, 0.7568)

**Crystal system**: trigonal
**Energy of formation**: 0.592 eV/atom
**ΔE to the lowest computed polymorph**: 0.0 meV per atom
**Volume**: 43.5 Å³/cell
**Energy**: -98.19 eV per cell


# 3
Here is AgRuRh at its PBEsol-relaxed geometry from Alexandria. Energies are from SCAN.

Cell lengths 4.1556, 4.1556, 4.1556 Å; angles 60.00, 60.00, 60.00 degrees
Atoms (fractional coordinates):
Ag (0.0000, 0.0000, 0.0000)
Ru (0.2500, 0.2500, 0.2500)
Rh (0.7500, 0.7500, 0.7500)

**Crystal system**: cubic
**Energy of formation**: 1.332 eV/atom
**ΔE to the lowest computed polymorph**: 740.6 meV per atom
**Volume**: 50.7 Å³/cell
**Energy**: -95.97 eV per cell


# 4
Here is AgRu2Rh at its PBEsol-relaxed geometry from Alexandria. Energies are from SCAN.

Cell lengths 2.6583, 2.6583, 9.2647 Å; angles 90.00, 90.00, 118.39 degrees
Atoms (fractional coordinates):
Ag (0.0000, 0.0000, 0.0000)
Ru (0.0000, 0.0000, 0.4989)
Ru (0.5000, 0.5000, 0.2649)
Rh (0.5000, 0.5000, 0.7398)

**Crystal system**: orthorhombic
**Energy of formation**: 0.415 eV/atom
**ΔE to the lowest computed polymorph**: 31.6 meV per atom
**Volume**: 57.6 Å³/cell
**Energy**: -133.13 eV per cell


# 5
Here is AgRu2Rh at its PBEsol-relaxed geometry from Alexandria. Energies are from SCAN.

Cell lengths 4.6806, 4.6806, 4.7322 Å; angles 99.20, 99.20, 33.39 degrees
Atoms (fractional coordinates):
Ag (0.0000, 0.0000, 0.0000)
Ru (0.2426, 0.2426, 0.7204)
Ru (0.5007, 0.5007, 0.5057)
Rh (0.7556, 0.7556, 0.2515)

**Crystal system**: monoclinic
**Energy of formation**: 0.384 eV/atom
**ΔE to the lowest computed polymorph**: 0.0 meV per atom
**Volume**: 56.3 Å³/cell
**Energy**: -133.26 eV per cell


# 6
Here is AgSb2Rh at its PBEsol-relaxed geometry from Alexandria. Energies are from SCAN.

Cell lengths 3.1921, 3.1922, 7.6924 Å; angles 90.00, 90.29, 90.00 degrees
Atoms (fractional coordinates):
Ag (0.0000, 0.0000, 0.0000)
Sb (0.4971, 0.5000, 0.2817)
Sb (0.5029, 0.5000, 0.7183)
Rh (0.0000, 0.0000, 0.5000)

**Crystal system**: monoclinic
**Volume**: 78.4 Å³/cell
**Energy**: -139.83 eV per cell
**E_form (uncorrected)**: -0.041 eV per atom


# 7
Here is Ag2SbRh at its PBEsol-relaxed geometry from Alexandria. Energies are from SCAN.

Cell lengths 5.3246, 5.3246, 5.3246 Å; angles 137.62, 137.62, 61.49 degrees
Atoms (fractional coordinates):
Ag (0.2500, 0.7500, 0.5000)
Ag (0.7500, 0.2500, 0.5000)
Sb (0.0000, 0.0000, 0.0000)
Rh (0.5000, 0.5000, 0.0000)

**Crystal system**: tetragonal
**Volume**: 67.8 Å³/cell
**Energy**: -133.79 eV per cell
**E_form (uncorrected)**: -0.005 eV per atom


# 8
Here is AgSbTe2Rh at its PBEsol-relaxed geometry from Alexandria. Energies are from SCAN.

Cell lengths 5.2679, 5.2679, 4.8881 Å; angles 90.00, 90.00, 90.00 degrees
Atoms (fractional coordinates):
Ag (0.0000, 0.0000, 0.0000)
Sb (0.5000, 0.5000, 0.0000)
Te (0.0000, 0.5000, 0.5000)
Te (0.5000, 0.0000, 0.5000)
Rh (0.5000, 0.5000, 0.5000)

**Crystal system**: tetragonal
**Volume**: 135.6 Å³/cell
**Energy**: -174.86 eV per cell
**E_form (uncorrected)**: 0.408 eV per atom


# 9
Here is ScAgRh at its PBEsol-relaxed geometry from Alexandria. Energies are from SCAN.

Cell lengths 4.3144, 4.3144, 4.3144 Å; angles 60.00, 60.00, 60.00 degrees
Atoms (fractional coordinates):
Sc (0.0000, 0.0000, 0.0000)
Ag (0.7500, 0.7500, 0.7500)
Rh (0.2500, 0.2500, 0.2500)

**Crystal system**: cubic
**Energy of formation**: -0.043 eV/atom
**ΔE to the lowest computed polymorph**: 482.8 meV per atom
**Volume**: 56.8 Å³/cell
**Energy**: -79.50 eV per cell


# 10
Here is ScAgRh2 at its PBEsol-relaxed geometry from Alexandria. Energies are from SCAN.

Cell lengths 4.7295, 4.7295, 4.8487 Å; angles 102.77, 102.77, 35.98 degrees
Atoms (fractional coordinates):
Sc (0.0000, 0.0000, 0.0000)
Ag (0.5000, 0.5000, 0.5000)
Rh (0.2563, 0.2563, 0.7495)
Rh (0.7437, 0.7437, 0.2505)

**Crystal system**: monoclinic
**Energy of formation**: -0.343 eV/atom
**Volume**: 62.0 Å³/cell
**Energy**: -114.52 eV per cell


# 11
Here is ScAgRh2 at its PBEsol-relaxed geometry from Alexandria. Energies are from SCAN.

Cell lengths 4.8695, 4.8695, 4.8695 Å; angles 132.46, 132.46, 69.51 degrees
Atoms (fractional coordinates):
Sc (0.0000, 0.0000, 0.0000)
Ag (0.7500, 0.2500, 0.5000)
Rh (0.2500, 0.7500, 0.5000)
Rh (0.5000, 0.5000, 0.0000)

**Crystal system**: tetragonal
**Energy of formation**: -0.380 eV/atom
**Volume**: 61.7 Å³/cell
**Energy**: -114.67 eV per cell


# 12
Here is ScAgRh at its PBEsol-relaxed geometry from Alexandria. Energies are from SCAN.

Cell lengths 5.1777, 5.1777, 5.1777 Å; angles 143.04, 143.04, 53.26 degrees
Atoms (fractional coordinates):
Sc (0.0000, 0.0000, 0.0000)
Ag (0.6834, 0.6834, 0.0000)
Rh (0.3583, 0.3583, 0.0000)

**Crystal system**: tetragonal
**Energy of formation**: -0.526 eV/atom
**ΔE to the lowest computed polymorph**: 0.0 meV per atom
**Volume**: 49.9 Å³/cell
**Energy**: -80.95 eV per cell


# 13
Here is ScAgRh2 at its PBEsol-relaxed geometry from Alexandria. Energies are from SCAN.

Cell lengths 2.8803, 3.8746, 5.5688 Å; angles 90.00, 90.00, 90.00 degrees
Atoms (fractional coordinates):
Sc (0.0000, 0.0000, 0.0000)
Ag (0.5000, 0.5000, 0.2808)
Rh (0.0000, 0.0000, 0.5351)
Rh (0.5000, 0.5000, 0.7618)

**Crystal system**: orthorhombic
**Energy of formation**: -0.318 eV/atom
**Volume**: 62.1 Å³/cell
**Energy**: -114.42 eV per cell


# 14
Here is ScAgRh2 at its PBEsol-relaxed geometry from Alexandria. Energies are from SCAN.

Cell lengths 3.9955, 3.9955, 3.8190 Å; angles 90.00, 90.00, 90.00 degrees
Atoms (fractional coordinates):
Sc (0.0000, 0.0000, 0.0000)
Ag (0.5000, 0.5000, 0.0000)
Rh (0.0000, 0.5000, 0.5000)
Rh (0.5000, 0.0000, 0.5000)

**Crystal system**: tetragonal
**Energy of formation**: -0.479 eV/atom
**Volume**: 61.0 Å³/cell
**Energy**: -115.06 eV per cell


# 15
Here is AgRhSe at its PBEsol-relaxed geometry from Alexandria. Energies are from SCAN.

Cell lengths 4.2287, 4.2287, 4.2287 Å; angles 60.00, 60.00, 60.00 degrees
Atoms (fractional coordinates):
Ag (0.0000, 0.0000, 0.0000)
Rh (0.5000, 0.5000, 0.5000)
Se (0.7500, 0.7500, 0.7500)

**Crystal system**: cubic
**Volume**: 53.5 Å³/cell
**Energy**: -84.41 eV per cell
**E_form (uncorrected)**: 0.270 eV per atom


# 16
Here is SiAgRh2 at its PBEsol-relaxed geometry from Alexandria. Energies are from SCAN.

Cell lengths 3.7910, 5.5706, 5.5706 Å; angles 28.91, 90.00, 90.00 degrees
Atoms (fractional coordinates):
Si (0.0000, 0.0000, 0.0000)
Ag (0.5000, 0.8383, 0.8383)
Rh (0.0000, 0.2134, 0.2134)
Rh (0.5000, 0.5665, 0.5665)

**Crystal system**: orthorhombic
**Volume**: 56.9 Å³/cell
**Energy**: -109.67 eV per cell
**E_form (uncorrected)**: -0.186 eV per atom


# 17
Here is SiAgRh2 at its PBEsol-relaxed geometry from Alexandria. Energies are from SCAN.

Cell lengths 2.8538, 2.8538, 6.7636 Å; angles 90.00, 90.00, 90.00 degrees
Atoms (fractional coordinates):
Si (0.0000, 0.0000, 0.0000)
Ag (0.0000, 0.0000, 0.5000)
Rh (0.5000, 0.5000, 0.2047)
Rh (0.5000, 0.5000, 0.7953)

**Crystal system**: tetragonal
**Volume**: 55.1 Å³/cell
**Energy**: -111.10 eV per cell
**E_form (uncorrected)**: -0.543 eV per atom


# 18
Here is SrSiAgRh2 at its PBEsol-relaxed geometry from Alexandria. Energies are from SCAN.

Cell lengths 4.5139, 4.5139, 4.7481 Å; angles 90.00, 90.00, 90.00 degrees
Atoms (fractional coordinates):
Sr (0.0000, 0.0000, 0.0000)
Si (0.5000, 0.5000, 0.5000)
Ag (0.5000, 0.5000, 0.0000)
Rh (0.0000, 0.5000, 0.5000)
Rh (0.5000, 0.0000, 0.5000)

**Crystal system**: tetragonal
**Volume**: 96.7 Å³/cell
**Energy**: -132.84 eV per cell
**E_form (uncorrected)**: -0.328 eV per atom


# 19
Here is Si2TcAgRh at its PBEsol-relaxed geometry from Alexandria. Energies are from SCAN.

Cell lengths 4.4764, 4.4764, 4.8453 Å; angles 90.00, 90.00, 90.00 degrees
Atoms (fractional coordinates):
Si (0.0000, 0.5000, 0.0000)
Si (0.5000, 0.0000, 0.0000)
Tc (0.0000, 0.0000, 0.5000)
Ag (0.5000, 0.5000, 0.0000)
Rh (0.5000, 0.5000, 0.5000)

**Crystal system**: tetragonal
**Volume**: 97.1 Å³/cell
**Energy**: -111.85 eV per cell
**E_form (uncorrected)**: 1.676 eV per atom


# 20
Here is AgSn2Rh2 at its PBEsol-relaxed geometry from Alexandria. Energies are from SCAN.

Cell lengths 7.5868, 7.5868, 3.0079 Å; angles 90.00, 90.00, 90.00 degrees
Atoms (fractional coordinates):
Ag (0.0000, 0.0000, 0.0000)
Ag (0.5000, 0.5000, 0.0000)
Sn (0.1540, 0.3460, 0.0000)
Sn (0.3460, 0.8460, 0.0000)
Sn (0.6540, 0.1540, 0.0000)
Sn (0.8460, 0.6540, 0.0000)
Rh (0.1419, 0.6419, 0.5000)
Rh (0.3581, 0.1419, 0.5000)
Rh (0.6419, 0.8581, 0.5000)
Rh (0.8581, 0.3581, 0.5000)

**Crystal system**: tetragonal
**Energy of formation**: -0.254 eV/atom
**Volume**: 173.1 Å³/cell
**Energy**: -344.05 eV per cell